Entry 1:
12
Lattice="3.3897 -5.8303 0.0000 3.3897 5.8303 0.0000 -2.2213 0.0000 6.4087" Properties=species:S:1:pos:R:3 comment="GaCu2TeS2 | OQMD via LeMat-Bulk | PBE | optimized geometry" energy_ev_per_cell=-47.909 vol_a3_per_cell=253.3 spacegroup="Cc, No. 9" pbc="T T T"
Ga 2.2791 4.6522 3.2044
Ga 3.3897 -4.6522 0.0000
Cu 1.2114 2.6975 6.1512
Cu 1.9296 0.9371 2.9344
Cu 0.8189 -0.9371 6.1388
Cu 2.3221 -2.6975 2.9468
Te 4.3919 1.0698 3.7762
Te 5.5025 -1.0698 0.5719
S 1.0212 2.8285 3.8628
S 2.1950 0.9829 0.6564
S 1.0843 -0.9829 3.8607
S 2.1318 -2.8285 0.6585

Entry 2:
16
Lattice="5.5199 0.0000 0.0000 0.0000 5.5199 0.0000 0.0000 0.0000 10.9388" Properties=species:S:1:pos:R:3 comment="TlGaCu2S4 | OQMD via LeMat-Bulk | PBE | optimized geometry" energy_ev_per_cell=-64.964 vol_a3_per_cell=333.3 spacegroup="I-4, No. 82" pbc="T T T"
Tl 0.0000 0.0000 0.0000
Tl 2.7600 2.7600 5.4694
Ga 0.0000 2.7600 8.2041
Ga 2.7600 0.0000 2.7347
Cu 0.0000 0.0000 5.4694
Cu 0.0000 2.7600 2.7347
Cu 2.7600 0.0000 8.2041
Cu 2.7600 2.7600 0.0000
S 1.2535 1.2541 6.9402
S 1.2541 4.2664 3.9987
S 1.5065 1.5059 1.4707
S 1.5059 4.0134 9.4681
S 4.0140 1.5065 9.4681
S 4.0134 4.0140 1.4707
S 4.2658 1.2535 3.9987
S 4.2664 4.2658 6.9402